## Pr3Ge4Rh7 (PBE)

Data for a geometry-optimized Pr3Ge4Rh7 structure.

a = 4.144 Å, b = 8.120 Å, c = 8.378 Å
α = 70.90°, β = 75.68°, γ = 75.22°
Atoms (fractional coordinates):
Pr 0.329 0.175 0.167
Pr 0.671 0.825 0.833
Pr 0.000 0.500 0.500
Ge 0.665 0.451 0.219
Ge 0.335 0.549 0.781
Ge 0.886 0.890 0.338
Ge 0.114 0.110 0.662
Rh 0.307 0.844 0.543
Rh 0.495 0.234 0.777
Rh 0.839 0.399 0.922
Rh 0.693 0.156 0.457
Rh 0.161 0.601 0.078
Rh 0.000 0.000 0.000
Rh 0.505 0.766 0.223

Values from the calculation:
Fermi-level density of states (states/eV/f.u.): 6.51
Energy of formation (eV/atom): -0.7947
Space-group type: No. 12



## BaGaAgO2 (PBE)

Data for a geometry-optimized BaGaAgO2 structure.

a = 4.323 Å, b = 4.813 Å, c = 4.323 Å
α = 90.00°, β = 90.00°, γ = 90.00°
Atoms (fractional coordinates):
O 0.000 0.000 0.500
O 0.500 0.000 0.000
Ga 0.000 0.000 0.000
Ba 0.500 0.500 0.500
Ag 0.000 0.500 0.000

Values from the calculation:
Fermi-level density of states (states/eV/f.u.): 0.51
Formation energy from raw total energies (kJ/mol of atoms): -87
Space-group type: No. 123



## YTaTe (PBE)

Data for a geometry-optimized YTaTe structure.

a = 3.608 Å, b = 3.608 Å, c = 6.705 Å
α = 90.00°, β = 90.00°, γ = 120.00°
Atoms (fractional coordinates):
Ta 0.000 0.000 0.022
Te 0.667 0.333 0.304
Y 0.333 0.667 0.674

Values from the calculation:
Fermi-level density of states (states/eV/f.u.): 0.67
Formation energy from raw total energies (kJ/mol of atoms): -13
Relative energy among the computed polymorphs (eV per formula unit): 0.086
Space-group type: No. 156



## Sc2SiPd (PBE)

Data for a geometry-optimized Sc2SiPd structure.

a = 9.148 Å, b = 9.148 Å, c = 9.148 Å
α = 20.08°, β = 20.08°, γ = 20.08°
Atoms (fractional coordinates):
Sc 0.908 0.908 0.908
Sc 0.092 0.092 0.092
Si 0.500 0.500 0.500
Pd 0.000 0.000 0.000

Values from the calculation:
Fermi-level density of states (states/eV/f.u.): 4.11
Formation energy from raw total energies (kJ/mol of atoms): -15
Space-group type: No. 166



## RbCaTlBr6 (PBE)

Data for a geometry-optimized RbCaTlBr6 structure.

a = 7.434 Å, b = 7.434 Å, c = 15.190 Å
α = 90.00°, β = 90.00°, γ = 120.00°
Atoms (fractional coordinates):
Rb 0.000 0.000 0.000
Rb 0.000 0.000 0.500
Ca 0.333 0.667 0.250
Ca 0.667 0.333 0.750
Tl 0.667 0.333 0.250
Tl 0.333 0.667 0.750
Br 0.631 0.621 0.141
Br 0.989 0.369 0.141
Br 0.369 0.989 0.641
Br 0.011 0.631 0.859
Br 0.379 0.369 0.359
Br 0.989 0.621 0.359
Br 0.621 0.989 0.859
Br 0.631 0.011 0.359
Br 0.011 0.379 0.641
Br 0.379 0.011 0.141
Br 0.621 0.631 0.641
Br 0.369 0.379 0.859

Values from the calculation:
Formation energy from raw total energies (kJ/mol of atoms): -124
Space-group type: No. 163



## Rb2CdI6F (PBE)

Data for a geometry-optimized Rb2CdI6F structure.

a = 8.807 Å, b = 8.807 Å, c = 8.247 Å
α = 57.73°, β = 57.73°, γ = 90.00°
Atoms (fractional coordinates):
I 0.289 0.289 0.423
I 0.711 0.711 0.577
I 0.232 0.232 0.000
I 0.768 0.768 0.000
I 0.768 0.232 0.000
I 0.232 0.768 0.000
F 0.500 0.500 0.000
Rb 0.750 0.250 0.500
Rb 0.250 0.750 0.500
Cd 0.000 0.000 0.000

Values from the calculation:
Fermi-level density of states (states/eV/f.u.): 19.40
Formation energy from raw total energies (kJ/mol of atoms): -73
Space-group type: No. 139



## ThMgTi4 (PBE)

Data for a geometry-optimized ThMgTi4 structure.

a = 5.623 Å, b = 5.623 Å, c = 5.623 Å
α = 60.00°, β = 60.00°, γ = 60.00°
Site moments in Bohr magnetons follow the coordinates.
Atoms (fractional coordinates):
Mg 0.000 0.000 0.000  0.00
Th 0.250 0.250 0.250  -0.01
Ti 0.623 0.623 0.132  0.16
Ti 0.623 0.132 0.623  0.16
Ti 0.623 0.623 0.623  0.16
Ti 0.132 0.623 0.623  0.16

Values from the calculation:
Fermi-level density of states (states/eV/f.u.): 12.65
Energy of formation (eV/atom): 0.2514
Space-group type: No. 216



## YMg2Pd (PBE)

Data for a geometry-optimized YMg2Pd structure.

a = 4.881 Å, b = 4.881 Å, c = 4.881 Å
α = 60.00°, β = 60.00°, γ = 60.00°
Atoms (fractional coordinates):
Y 0.000 0.000 0.000
Mg 0.250 0.250 0.250
Mg 0.750 0.750 0.750
Pd 0.500 0.500 0.500

Values from the calculation:
Fermi-level density of states (states/eV/f.u.): 2.97
Energy of formation (eV/atom): -0.2908
Space-group type: No. 225